Below is a PBEsol-optimized structure of SrLi2Ca, with properties calculated at the meta-GGA SCAN level.

The structure in extended XYZ format:
```
8
Lattice="-4.414 4.414 3.582 4.414 -4.414 3.582 4.414 4.414 -3.582" Properties=species:S:1:pos:R:3 pbc="T T T"
Sr 0.000 0.000 0.000
Sr 0.000 4.414 1.791
Li 2.207 -2.106 2.687
Li 2.308 2.207 0.896
Li 2.207 6.519 -0.896
Li 2.106 2.207 4.478
Ca 4.414 0.000 1.791
Ca 0.000 0.000 3.582
```

Summary:
distance to the lowest polymorph of the same formula	0.184	eV per atom
energy relative to the elements	0.19	eV per atom